DFT (PBE) results for an optimized crystal structure of Ac4La3CeTe8.

Unit cell a=9.2874 b=9.2874 c=22.8392 alpha=90.00 beta=90.00 gamma=120.00
Space group R-3m (No. 166, hexagonal axes)
Inequivalent atoms, fractional coordinates:
Ac1 0.0000 0.0000 0.0000 (multiplicity 3)
Ac2 0.0000 0.5000 0.0000 (multiplicity 9)
La1 0.0000 0.5000 0.5000 (multiplicity 9)
Ce1 0.0000 0.0000 0.5000 (multiplicity 3)
Te1 0.0000 0.0000 0.2467 (multiplicity 6)
Te2 0.0024 0.5012 0.2462 (multiplicity 18)

Summary:
- E (eV per atom) = -5.404
- ΔE_f (raw) (meV/atom) = -1511